Computed, not measured: a relaxed structure of CaDy3Rh4 at the PBE-GGA level of DFT.

Calculated values
- ΔH_f (0 K): -74 kJ per mole of atoms
- Calculated total energy: -51.316 eV for the cell shown

Cell lengths 4.845, 4.845, 6.814 Å; angles 90.00, 90.00, 90.00 degrees
Fractional positions:
1 Ca 0.000 0.000 0.000
2 Dy 0.000 0.000 0.500
3 Dy 0.500 0.500 0.000
4 Dy 0.500 0.500 0.500
5 Rh 0.000 0.500 0.258
6 Rh 0.000 0.500 0.742
7 Rh 0.500 0.000 0.258
8 Rh 0.500 0.000 0.742

=====

Computed, not measured: a relaxed structure of BiClF2 at the PBE-GGA level of DFT.

Calculated values
- E above lowest polymorph: 208 meV per atom
- Calculated total energy: -16.347 eV for the cell shown
- ΔE_f (raw): -6.9 eV per formula unit

Cell lengths 5.450, 5.450, 5.450 Å; angles 43.45, 43.45, 43.45 degrees
Fractional positions:
1 Bi 0.000 0.000 0.000
2 Cl 0.500 0.500 0.500
3 F 0.295 0.295 0.295
4 F 0.705 0.705 0.705

=====

Computed, not measured: a relaxed structure of Sm3ErSb4 at the PBE-GGA level of DFT.

Calculated values
- Calculated total energy: -44.447 eV for the cell shown
- ΔE_f (raw): -9.2 eV per formula unit

Cell lengths 6.279, 6.279, 6.279 Å; angles 90.00, 90.00, 90.00 degrees
Fractional positions:
1 Sm 0.000 0.000 0.500
2 Sm 0.000 0.500 0.000
3 Sm 0.500 0.000 0.000
4 Er 0.500 0.500 0.500
5 Sb 0.000 0.000 0.000
6 Sb 0.000 0.500 0.500
7 Sb 0.500 0.000 0.500
8 Sb 0.500 0.500 0.000